Pr3Sm12Al | PBE | optimized geometry

```
16
Lattice="-4.981 -0.788 0.373 0.667 -2.049 4.575 -2.287 18.543 8.637" Properties=species:S:1:pos:R:3 pbc="T T T"
Pr -0.560 4.543 2.116
Sm -2.157 -1.418 2.474
Sm -2.710 3.065 4.563
Sm -1.104 10.626 7.714
Sm -3.301 7.853 6.793
Sm -3.891 12.641 9.023
Sm -0.517 5.869 5.498
Sm -3.341 6.499 3.397
Sm -4.514 16.012 7.828
Pr -1.727 14.000 6.521
Sm -2.754 1.743 1.182
Sm -1.690 15.381 9.929
Pr -1.144 9.272 4.319
Al 0.000 0.000 0.000
Sm -3.928 11.256 5.613
Sm 0.070 1.113 3.283
```

## Properties
- space-group type = P4/mmm (123)
- DOS(E_F) (states/eV/cell) = 23.01
- energy (eV/atom) = -4.682

***

Pr2Sm4Al | PBE | optimized geometry

```
7
Lattice="-1.907 0.240 -3.137 -1.294 -3.048 -1.605 -17.767 0.740 8.699" Properties=species:S:1:pos:R:3 pbc="T T T"
Pr -8.093 -0.231 2.744
Sm -7.698 -2.357 -1.974
Sm -2.991 -0.743 -0.396
Pr -12.875 -1.837 1.213
Sm -17.976 -1.325 4.353
Sm -13.270 0.288 5.931
Al 0.000 0.000 0.000
```

## Properties
- space-group type = R-3m (166)
- DOS(E_F) (states/eV/cell) = 10.20
- energy (eV/atom) = -4.610

***

PrSm4Al2 | PBE | optimized geometry

```
7
Lattice="5.166 0.000 1.614 2.331 4.611 1.614 0.140 0.086 8.628" Properties=species:S:1:pos:R:3 pbc="T T T"
Sm 4.412 2.713 4.029
Sm 3.226 1.984 7.826
Sm 1.228 0.755 5.145
Al 2.129 1.309 2.262
Pr 0.000 0.000 0.000
Al 5.509 3.388 9.594
Sm 6.410 3.942 6.711
```

## Properties
- space-group type = R-3m (166)
- offset from the most stable computed form (meV/atom) = 0.0
- DOS(E_F) (states/eV/cell) = 5.29

***

Pr6SmAl | PBE | optimized geometry

```
8
Lattice="-1.573 -0.969 4.681 2.502 -4.366 -0.064 8.410 4.763 3.811" Properties=species:S:1:pos:R:3 pbc="T T T"
Pr 4.670 -0.286 4.215
Pr 7.448 1.327 2.777
Sm 0.000 0.000 0.000
Pr 5.411 3.025 5.149
Pr 0.465 -2.668 2.309
Pr 3.464 -0.930 0.971
Al 4.205 2.382 1.906
Pr 1.427 0.769 3.344
```

## Properties
- space-group type = P4/mmm (123)
- offset from the most stable computed form (meV/atom) = 0.0
- DOS(E_F) (states/eV/cell) = 8.83

***

Pr4Sm5Al | PBE | optimized geometry

```
10
Lattice="5.871 0.000 0.000 2.936 7.656 0.000 2.936 0.000 7.656" Properties=species:S:1:pos:R:3 pbc="T T T"
Pr 2.687 2.373 2.374
Sm 3.824 0.000 0.000
Sm 5.663 7.656 4.863
Sm 2.727 4.863 0.000
Sm 5.663 0.000 2.793
Pr 8.558 5.283 5.283
Pr 5.622 5.283 2.373
Pr 5.622 2.374 5.283
Sm 8.598 2.793 7.656
Al 1.001 0.000 0.000
```

## Properties
- space-group type = I4mm (107)
- offset from the most stable computed form (meV/atom) = 134.7
- DOS(E_F) (states/eV/cell) = 13.12

***

Pr8Sm6Al | PBE | optimized geometry

```
15
Lattice="6.619 0.000 0.000 0.000 8.208 -4.739 0.000 0.000 9.477" Properties=species:S:1:pos:R:3 pbc="T T T"
Sm 2.194 0.785 3.787
Sm 4.425 3.673 1.213
Pr 1.246 6.385 -3.274
Pr 5.373 0.357 2.311
Sm 4.425 5.320 -2.165
Sm 4.425 7.422 0.951
Pr 1.246 2.180 0.847
Pr 1.246 7.851 2.428
Pr 0.925 5.472 0.000
Sm 2.194 4.535 3.525
Pr 5.694 2.736 4.739
Pr 5.373 1.823 8.013
Pr 5.373 6.028 3.892
Sm 2.194 2.887 6.903
Al 3.310 0.000 0.000
```

## Properties
- space-group type = P-3 (147)
- DOS(E_F) (states/eV/cell) = 20.95
- energy (eV/atom) = -4.605

***

PrSm7Al4 | PBE | optimized geometry

```
12
Lattice="5.629 0.000 0.000 2.814 8.838 0.305 2.814 0.574 7.011" Properties=species:S:1:pos:R:3 pbc="T T T"
Sm 2.814 0.000 0.000
Al 5.629 6.912 2.647
Sm 8.443 8.067 4.035
Pr 0.000 0.000 0.000
Al 8.443 6.472 7.069
Sm 2.814 5.549 1.994
Sm 5.629 6.132 5.533
Sm 8.443 3.863 5.323
Al 2.814 2.940 0.247
Sm 5.629 3.280 1.784
Al 5.629 2.500 4.670
Sm 2.814 1.345 3.282
```

## Properties
- space-group type = C2/m (12)
- DOS(E_F) (states/eV/cell) = 12.17
- energy (eV/atom) = -4.463

***

PrSmThAl | PBE | optimized geometry

```
4
Lattice="5.487 0.000 0.000 2.743 4.752 0.000 2.743 1.584 4.480" Properties=species:S:1:pos:R:3 pbc="T T T"
Th 0.000 0.000 0.000
Al 2.743 1.584 1.120
Sm 8.230 4.752 3.360
Pr 5.487 3.168 2.240
```

## Properties
- space-group type = F-43m (216)
- DOS(E_F) (states/eV/cell) = 5.03
- energy (eV/atom) = -5.150

***

PrSmYAl | PBE | optimized geometry

```
4
Lattice="-0.798 3.878 3.770 -4.133 3.537 -0.549 -4.310 -0.290 3.351" Properties=species:S:1:pos:R:3 pbc="T T T"
Al 0.000 0.000 0.000
Y -4.620 3.563 3.287
Sm -6.930 5.344 4.930
Pr -2.310 1.781 1.643
```

## Properties
- space-group type = F-43m (216)
- offset from the most stable computed form (meV/atom) = 147.1
- DOS(E_F) (states/eV/cell) = 6.91

***

PrSmYAl | PBE | optimized geometry

```
4
Lattice="3.571 0.000 0.000 0.000 3.571 0.000 0.000 0.000 9.255" Properties=species:S:1:pos:R:3 pbc="T T T"
Al 0.000 0.000 5.329
Sm 1.785 1.785 3.358
Pr 0.000 0.000 0.621
Y 1.785 1.785 7.211
```

## Properties
- space-group type = P4mm (99)
- offset from the most stable computed form (meV/atom) = 0.0
- DOS(E_F) (states/eV/cell) = 3.43

***

PrSmAlZn | PBE | optimized geometry

```
4
Lattice="-0.203 1.956 -3.093 -3.584 0.518 0.563 1.519 6.295 3.882" Properties=species:S:1:pos:R:3 pbc="T T T"
Zn -0.989 4.988 1.048
Al -1.719 1.963 -0.817
Sm 0.551 2.282 1.407
Pr 1.298 5.378 3.316
```

## Properties
- space-group type = P4mm (99)
- offset from the most stable computed form (meV/atom) = 0.0
- DOS(E_F) (states/eV/cell) = 3.69

***

PrSmAl2Zn2 | PBE | optimized geometry

```
6
Lattice="-1.397 1.961 3.865 -2.652 -3.054 -2.092 3.237 -5.535 3.979" Properties=species:S:1:pos:R:3 pbc="T T T"
Al -0.956 -1.180 2.936
Sm 1.618 -2.768 1.990
Al 0.144 -5.448 2.817
Pr 0.000 0.000 0.000
Zn 0.543 -3.745 4.780
Zn -1.356 -2.884 0.973
```

## Properties
- space-group type = P-3m1 (164)
- DOS(E_F) (states/eV/cell) = 3.79
- energy (eV/atom) = -3.684

***

PrSm2Al2Zn2 | PBE | optimized geometry

```
7
Lattice="4.572 0.000 0.000 2.286 3.959 0.000 2.286 1.320 9.418" Properties=species:S:1:pos:R:3 pbc="T T T"
Zn 4.572 2.639 1.988
Sm 2.286 1.320 5.774
Al 2.286 1.320 2.022
Pr 0.000 0.000 0.000
Al 6.858 3.959 7.395
Zn 4.572 2.639 7.430
Sm 6.858 3.959 3.644
```

## Properties
- space-group type = R-3m (166)
- DOS(E_F) (states/eV/cell) = 3.75
- energy (eV/atom) = -3.771

***

Pr2SmAl2Zn2 | PBE | optimized geometry

```
7
Lattice="4.575 0.000 0.000 2.288 3.962 0.000 2.288 1.321 9.431" Properties=species:S:1:pos:R:3 pbc="T T T"
Zn 4.575 2.642 7.679
Al 6.863 3.962 7.578
Pr 2.288 1.321 5.828
Sm 0.000 0.000 0.000
Zn 4.575 2.642 1.751
Pr 6.863 3.962 3.603
Al 2.288 1.321 1.853
```

## Properties
- space-group type = R-3m (166)
- DOS(E_F) (states/eV/cell) = 4.84
- energy (eV/atom) = -3.784

***

PrSmAlZn | PBE | optimized geometry

```
4
Lattice="5.246 0.000 0.000 2.623 4.544 0.000 2.623 1.515 4.284" Properties=species:S:1:pos:R:3 pbc="T T T"
Zn 2.623 1.515 1.071
Pr 5.246 3.029 2.142
Sm 0.000 0.000 0.000
Al 7.870 4.544 3.213
```

## Properties
- space-group type = F-43m (216)
- offset from the most stable computed form (meV/atom) = 5.6
- DOS(E_F) (states/eV/cell) = 4.21

***

PrAl2Sn | PBE | optimized geometry

```
4
Lattice="4.480 0.000 0.000 0.000 4.555 0.000 0.000 0.000 4.555" Properties=species:S:1:pos:R:3 pbc="T T T"
Al 0.000 2.278 0.000
Pr 2.240 2.278 2.278
Sn 2.240 0.000 0.000
Al 0.000 0.000 2.278
```

## Properties
- space-group type = P4/mmm (123)
- DOS(E_F) (states/eV/cell) = 1.76
- energy (eV/atom) = -4.451

***

Pr8Al2Sn | PBE | optimized geometry

```
11
Lattice="-0.410 4.698 -1.810 2.156 -2.667 -7.413 -8.561 -2.718 1.933" Properties=species:S:1:pos:R:3 pbc="T T T"
Pr -4.466 0.076 -5.841
Al -4.503 1.250 -2.784
Pr -1.260 -0.268 -7.461
Al -2.311 -1.938 -4.506
Pr -5.554 -0.419 0.171
Pr -2.349 -0.763 -1.449
Pr 0.786 -2.011 -5.398
Pr -7.600 1.323 -1.892
Sn -0.205 2.349 -0.905
Pr -1.046 1.062 -4.057
Pr -5.768 -1.749 -3.234
```

## Properties
- space-group type = C2/m (12)
- DOS(E_F) (states/eV/cell) = 13.15
- energy (eV/atom) = -4.772

***

Pr5AlSn4 | PBE | optimized geometry

```
10
Lattice="4.511 0.000 0.000 0.000 8.681 1.060 -2.256 -0.111 8.081" Properties=species:S:1:pos:R:3 pbc="T T T"
Sn 0.000 6.896 6.359
Pr 2.256 4.341 0.530
Sn 2.256 1.674 2.782
Pr 2.256 4.711 5.855
Pr 0.000 3.859 3.285
Sn 2.256 6.480 8.676
Pr 0.000 8.030 3.358
Pr 2.256 0.540 5.783
Al 2.256 0.000 0.000
Sn 0.000 2.090 0.465
```

## Properties
- space-group type = C2/m (12)
- DOS(E_F) (states/eV/cell) = 7.65
- energy (eV/atom) = -4.749

***

Pr3Al2Sn3 | PBE | optimized geometry

```
16
Lattice="4.838 0.000 0.000 -2.419 5.758 0.000 0.000 0.000 15.646" Properties=species:S:1:pos:R:3 pbc="T T T"
Sn 0.000 0.681 14.242
Sn 2.419 5.078 1.405
Pr 0.000 5.053 3.912
Al 0.000 1.847 2.572
Pr 0.000 4.056 15.079
Sn 0.000 0.681 9.228
Pr 2.419 1.702 0.568
Pr 2.419 0.705 11.735
Sn 2.419 2.599 3.912
Al 0.000 1.847 5.251
Sn 0.000 3.160 11.735
Al 2.419 3.911 13.074
Sn 2.419 5.078 6.419
Pr 2.419 1.702 7.255
Al 2.419 3.911 10.395
Pr 0.000 4.056 8.391
```

## Properties
- space-group type = Cmcm (63)
- offset from the most stable computed form (meV/atom) = 116.8
- DOS(E_F) (states/eV/cell) = 7.10

***

Pr5Al2Sn5 | PBE | optimized geometry

```
12
Lattice="4.543 0.000 0.000 -2.272 8.059 -1.190 0.000 -6.261 10.285" Properties=species:S:1:pos:R:3 pbc="T T T"
Pr 0.000 0.626 6.149
Pr 0.000 5.806 -0.155
Al 2.272 4.265 1.671
Sn 2.272 -1.020 7.775
Pr 2.272 -4.008 9.251
Al 0.000 -2.467 7.425
Sn 0.000 0.000 0.000
Sn 2.272 2.959 5.678
Pr 2.272 -3.130 5.143
Sn 0.000 -1.161 3.417
Sn 0.000 2.819 1.320
Pr 2.272 1.173 2.946
```

## Properties
- space-group type = C2/m (12)
- DOS(E_F) (states/eV/cell) = 5.75
- energy (eV/atom) = -4.935

***

Pr5Al2Sn2 | PBE | optimized geometry

```
18
Lattice="-1.227 8.040 -1.549 -8.228 -1.049 1.073 4.934 2.172 7.363" Properties=species:S:1:pos:R:3 pbc="T T T"
Pr -6.913 2.205 2.568
Pr -2.086 5.700 1.338
Pr 2.393 6.958 4.319
Sn -0.134 4.982 3.839
Pr -1.903 7.629 4.626
Pr -6.382 6.371 1.644
Sn -4.386 4.181 3.048
Pr -4.727 3.496 -0.238
Pr 0.000 0.000 0.000
Sn 0.341 0.685 3.286
Al -8.055 4.003 0.002
Al -1.400 2.988 -0.478
Pr -2.617 1.534 2.262
Pr -2.434 3.463 5.550
Pr 1.862 2.792 5.243
Sn -3.635 0.438 5.150
Al -4.275 6.720 -0.957
Al -5.179 0.271 0.481
```

## Properties
- space-group type = Cmce (64)
- DOS(E_F) (states/eV/cell) = 16.74
- energy (eV/atom) = -4.866

***

Pr3Al2Sn3 | PBE | optimized geometry

```
16
Lattice="4.511 0.000 0.000 -2.255 5.933 0.000 0.000 0.000 15.992" Properties=species:S:1:pos:R:3 pbc="T T T"
Sn 2.255 1.522 7.375
Al 0.000 2.642 6.173
Sn 2.255 1.522 0.621
Pr 0.000 4.110 11.994
Al 0.000 2.642 1.823
Pr 2.255 5.207 1.788
Pr 2.255 5.207 6.208
Al 2.255 3.291 9.820
Sn 0.000 4.452 3.998
Pr 2.255 1.823 3.998
Sn 2.255 1.480 11.994
Pr 0.000 0.726 14.204
Al 2.255 3.291 14.169
Pr 0.000 0.726 9.784
Sn 0.000 4.411 15.372
Sn 0.000 4.411 8.617
```

## Properties
- space-group type = Cmcm (63)
- offset from the most stable computed form (meV/atom) = 0.0
- DOS(E_F) (states/eV/cell) = 13.29

***

Pr6AlSn | PBE | optimized geometry

```
8
Lattice="-0.586 1.661 4.647 -4.925 -0.495 -0.444 0.629 -9.308 3.405" Properties=species:S:1:pos:R:3 pbc="T T T"
Pr 0.177 -6.120 4.866
Pr -2.756 0.583 2.102
Pr -0.133 -1.527 3.186
Sn 0.000 0.000 0.000
Pr -2.441 -4.071 3.805
Pr -2.303 -2.605 0.641
Pr -1.993 -7.198 2.321
Al 0.315 -4.654 1.703
```

## Properties
- space-group type = P4/mmm (123)
- DOS(E_F) (states/eV/cell) = 10.31
- energy (eV/atom) = -4.864